(1)
VASP calculation (PBE) on a geometry-optimized TcTe2Os structure.

a = 3.1198 Å, b = 3.1198 Å, c = 30.1413 Å
α = 90.00°, β = 90.00°, γ = 120.00°
Space group R3m (No. 160, hexagonal axes)
Unique sites:
1 Tc 0.0000 0.0000 0.0000 (multiplicity 3)
2 Te 0.0000 0.0000 0.2640 (multiplicity 3)
3 Te 0.0000 0.0000 0.4703 (multiplicity 3)
4 Os 0.0000 0.0000 0.7326 (multiplicity 3)

Summary:
Fermi-level density of states: 7.94 states/eV/cell
crystal system: trigonal
magnetic moment: 0.00 μB per cell
distance to the lowest polymorph of the same formula: 0.1764 eV per atom
calculated volume: 21.2 A^3/atom

---

(2)
VASP calculation (PBE) on a geometry-optimized TcTe2Os structure.

a = 8.393 Å, b = 3.238 Å, c = 5.594 Å
α = 90.00°, β = 102.88°, γ = 90.00°
Space group C2/m (No. 12)
Unique sites:
1 Tc 0.000 0.000 0.000 (multiplicity 2)
2 Te 0.247 0.500 0.247 (multiplicity 4)
3 Os 0.000 0.500 0.500 (multiplicity 2)

Summary:
Fermi-level density of states: 4.31 states/eV/cell
crystal system: monoclinic
magnetic moment: 0.00 μB per cell
distance to the lowest polymorph of the same formula: 0.2970 eV per atom
calculated volume: 18.5 A^3/atom

---

(3)
VASP calculation (PBE) on a geometry-optimized TcTe2Os structure.

a = 2.992 Å, b = 4.022 Å, c = 7.699 Å
α = 90.00°, β = 91.86°, γ = 90.00°
Space group Pm (No. 6)
Unique sites:
1 Tc 0.000 0.000 0.000 (multiplicity 1)
2 Te 0.298 0.000 0.649 (multiplicity 1)
3 Te 0.709 0.500 0.213 (multiplicity 1)
4 Os 0.487 0.500 0.870 (multiplicity 1)

Summary:
Fermi-level density of states: 3.13 states/eV/cell
crystal system: monoclinic
magnetic moment: 0.00 μB per cell
distance to the lowest polymorph of the same formula: 0.0000 eV per atom
calculated volume: 23.2 A^3/atom

---

(4)
VASP calculation (PBE) on a geometry-optimized TcTeOs structure.

a = 3.0298 Å, b = 3.0298 Å, c = 12.8332 Å
α = 90.00°, β = 90.00°, γ = 120.00°
Space group P-6m2 (No. 187)
Unique sites:
1 Tc 0.0000 0.0000 0.0000 (multiplicity 1)
2 Tc 0.0000 0.0000 0.5000 (multiplicity 1)
3 Te 0.3333 0.6667 0.1643 (multiplicity 2)
4 Os 0.6667 0.3333 0.3432 (multiplicity 2)

Summary:
Fermi-level density of states: 3.89 states/eV/cell
crystal system: hexagonal
magnetic moment: 0.00 μB per cell
distance to the lowest polymorph of the same formula: 0.0229 eV per atom
calculated volume: 17.0 A^3/atom

---

(5)
VASP calculation (PBE) on a geometry-optimized TcTeOs structure.

a = 3.037 Å, b = 4.069 Å, c = 8.179 Å
α = 90.00°, β = 90.00°, γ = 90.00°
Space group Imm2 (No. 44)
Unique sites:
1 Tc 0.000 0.000 0.000 (multiplicity 2)
2 Te 0.000 0.000 0.678 (multiplicity 2)
3 Os 0.000 0.000 0.355 (multiplicity 2)

Summary:
Fermi-level density of states: 5.72 states/eV/cell
crystal system: orthorhombic
magnetic moment: 0.00 μB per cell
distance to the lowest polymorph of the same formula: 0.1831 eV per atom
calculated volume: 16.8 A^3/atom

---

(6)
VASP calculation (PBE) on a geometry-optimized Tc2Te2Os structure.

a = 4.143 Å, b = 4.143 Å, c = 11.494 Å
α = 90.00°, β = 90.00°, γ = 90.00°
Space group I4/mmm (No. 139)
Unique sites:
1 Tc 0.000 0.000 0.104 (multiplicity 4)
2 Te 0.000 0.500 0.250 (multiplicity 4)
3 Os 0.000 0.000 0.500 (multiplicity 2)

Summary:
Fermi-level density of states: 9.57 states/eV/cell
crystal system: tetragonal
magnetic moment: 1.31 μB per cell
distance to the lowest polymorph of the same formula: 0.4225 eV per atom
calculated volume: 19.7 A^3/atom

---

(7)
VASP calculation (PBE) on a geometry-optimized TcTe2Os structure.

a = 3.212 Å, b = 5.454 Å, c = 8.850 Å
α = 90.00°, β = 90.00°, γ = 90.00°
Space group Cmmm (No. 65)
Unique sites:
1 Tc 0.000 0.000 0.000 (multiplicity 2)
2 Te 0.000 0.500 0.249 (multiplicity 4)
3 Os 0.000 0.000 0.500 (multiplicity 2)

Summary:
Fermi-level density of states: 12.76 states/eV/cell
crystal system: orthorhombic
magnetic moment: 0.02 μB per cell
distance to the lowest polymorph of the same formula: 0.8262 eV per atom
calculated volume: 19.4 A^3/atom

---

(8)
VASP calculation (PBE) on a geometry-optimized TcTe2Os structure.

a = 3.2445 Å, b = 3.2445 Å, c = 26.6922 Å
α = 90.00°, β = 90.00°, γ = 120.00°
Space group R-3m (No. 166, hexagonal axes)
Unique sites:
1 Tc 0.0000 0.0000 0.0000 (multiplicity 3)
2 Te 0.0000 0.0000 0.4059 (multiplicity 6)
3 Os 0.0000 0.0000 0.5000 (multiplicity 3)

Summary:
Fermi-level density of states: 11.07 states/eV/cell
crystal system: trigonal
magnetic moment: 0.00 μB per cell
distance to the lowest polymorph of the same formula: 0.4633 eV per atom
calculated volume: 20.3 A^3/atom